{
  "formula": "Na2LiTmI6",
  "functional": "PBE",
  "state": "optimized geometry",
  "formation_energy_uncorrected_ev_per_atom": -1.269,
  "sg": "R3 (146)",
  "magmom_total_mub_per_atom": 0.000,
  "crystal_system": "trigonal",
  "lattice": [[3.9364, 2.2727, 6.9969], [-3.9364, 2.2727, 6.9969], [0.0000, -4.5454, 6.9969]],
  "species": ["Na", "Na", "Li", "Tm", "I", "I", "I", "I", "I", "I"],
  "fractional_positions": [[0.0000, 0.0000, 0.0000], [0.4937, 0.4937, 0.4937], [0.1980, 0.1980, 0.1980], [0.6878, 0.6878, 0.6878], [0.0623, 0.4330, 0.8082], [0.3083, 0.9227, 0.5727], [0.4330, 0.8082, 0.0623], [0.5727, 0.3083, 0.9227], [0.8082, 0.0623, 0.4330], [0.9227, 0.5727, 0.3083]]
}